Material: Np4Fe7Si6
Method: DFT, PBE
State: optimized geometry

The uncorrected formation energy comes out at -0.359 eV per atom. The final energy comes out at -149.6 eV per cell. As for the magnetization: 8.218 μB per formula unit. The calculation puts the volume at 250.1 Å³/f.u.

Lattice parameters (Å, degrees): 6.8747 6.8747 6.8747 109.47 109.47 109.47
Fractional positions:
Np 0.5000 0.0000 0.0000
Np 0.5000 0.5000 0.5000
Np 0.0000 0.5000 0.0000
Np 0.0000 0.0000 0.5000
Fe 0.7500 0.5000 0.2500
Fe 0.2500 0.7500 0.5000
Fe 0.5000 0.7500 0.2500
Fe 0.7500 0.2500 0.5000
Fe 0.2500 0.5000 0.7500
Fe 0.5000 0.2500 0.7500
Fe 0.0000 0.0000 0.0000
Si 0.6790 0.0000 0.6790
Si 0.6790 0.6790 0.0000
Si 0.0000 0.3210 0.3210
Si 0.3210 0.0000 0.3210
Si 0.3210 0.3210 0.0000
Si 0.0000 0.6790 0.6790